The following is a DFT calculation (PBE) of a geometry-optimized HoCuGe structure.

Calculated values
**Calculated total energy**: -5.0122 eV/atom
**Calculated volume**: 19.8 A^3/atom
**Total magnetic moment**: 0.00 μB/f.u.

a b c (Å): 4.383 4.383 4.383
angles (deg): 60.00 60.00 60.00
Fractional positions:
Ge 0.000 0.000 0.000
Ho 0.500 0.500 0.500
Cu 0.250 0.250 0.250

The following is a DFT calculation (PBE) of a geometry-optimized MgCdRh2 structure.

Calculated values
**Calculated total energy**: -3.9893 eV/atom
**Calculated volume**: 17.6 A^3/atom
**Total magnetic moment**: 0.00 μB/f.u.

a b c (Å): 5.903 5.903 5.903
angles (deg): 56.32 152.54 131.85
Fractional positions:
Mg 0.000 0.000 0.000
Cd 0.000 0.500 0.500
Rh 0.000 0.243 0.243
Rh 0.000 0.757 0.757

The following is a DFT calculation (PBE) of a geometry-optimized Pr3Zn2SnPd9 structure.

Calculated values
**Calculated total energy**: -5.0289 eV/atom
**Calculated volume**: 22.4 A^3/atom
**Total magnetic moment**: 0.00 μB/f.u.

a b c (Å): 5.723 5.723 11.850
angles (deg): 90.00 90.00 120.00
Fractional positions:
Pr 0.333 0.667 0.758
Pr 0.000 0.000 0.000
Pr 0.667 0.333 0.242
Zn 0.333 0.667 0.163
Zn 0.667 0.333 0.837
Sn 0.000 0.000 0.500
Pd 0.832 0.168 0.674
Pd 0.832 0.665 0.674
Pd 0.335 0.168 0.674
Pd 0.665 0.832 0.326
Pd 0.168 0.335 0.326
Pd 0.168 0.832 0.326
Pd 0.500 0.000 0.000
Pd 0.000 0.500 0.000
Pd 0.500 0.500 0.000